First-principles (PBE-GGA) data for a relaxed Y6Si2Hg crystal, as listed in Alexandria via LeMat-Bulk.

Geometry as POSCAR:
```
Y6Si2Hg
1.0
-4.797 4.805 5.130
4.797 -4.805 5.130
4.797 4.805 -5.130
Y Si Hg
12 4 2
Cartesian
4.797 2.888 -2.606
2.626 1.738 0.000
6.968 1.738 0.000
1.940 4.805 -1.816
2.857 0.000 3.314
0.000 1.917 2.524
4.797 2.888 2.606
1.940 4.805 1.816
2.857 0.000 6.947
-2.171 3.068 5.130
2.171 3.068 5.130
0.000 1.917 7.737
4.797 0.000 1.201
0.000 3.463 0.000
0.000 6.148 0.000
0.000 4.805 3.929
0.000 0.000 0.000
0.000 0.000 5.130
```

ΔE_f (raw), eV/atom: -0.55